First-principles (PBE-GGA) data for an optimized crystal structure of ReSnI3, as listed in the Alexandria database.

E above lowest polymorph, meV per atom: 0
Raw formation energy, eV per atom: 0.73
Fermi-level density of states, states/eV/atom: 1.24
Mass density, g/cm³: 7.0

POSCAR file:
```
ReSnI3
1.0
5.466 0.000 0.000
0.000 5.466 0.000
0.000 0.000 5.466
Re I Sn
1 3 1
direct
0.000 0.000 0.000 Re
0.000 0.500 0.000 I
0.000 0.000 0.500 I
0.500 0.000 0.000 I
0.500 0.500 0.500 Sn
```